[1]
Here is Mn2NbI8 after structural relaxation from Alexandria via LeMat-Bulk. Energies are from GGA-PBE.

Values from the calculation:
- Symmetry: P-3m1, No. 164
- Total energy: -0.14596 Ha/atom
- Mass density: 4.24 Mg/m³
- Fermi-level density of states: 3.79 states/eV/f.u.

Cell lengths 7.5681, 8.5352, 8.5352 Å; angles 120.00, 90.00, 90.00 degrees
Fractional positions:
I (0.8699, 0.3333, 0.6667)
I (0.7278, 0.3027, 0.1513)
I (0.7278, 0.8487, 0.1513)
I (0.2722, 0.1513, 0.8487)
I (0.7278, 0.8487, 0.6973)
I (0.1301, 0.6667, 0.3333)
I (0.2722, 0.6973, 0.8487)
I (0.2722, 0.1513, 0.3027)
Mn (0.2111, 0.3333, 0.6667)
Mn (0.7889, 0.6667, 0.3333)
Nb (0.5000, 0.0000, 0.0000)

---

[2]
Here is Dy2HgB2Rh5 after structural relaxation from Alexandria via LeMat-Bulk. Energies are from GGA-PBE.

Values from the calculation:
- ΔE_f: -0.69 eV per atom
- Symmetry: P4/mbm, No. 127
- Mass density: 11.63 Mg/m³
- Fermi-level density of states: 4.42 states/eV/f.u.

Cell lengths 3.2336, 9.6842, 9.6842 Å; angles 90.00, 90.00, 90.00 degrees
Fractional positions:
Hg (0.0000, 0.5000, 0.5000)
Hg (0.0000, 0.0000, 0.0000)
B (0.0000, 0.6216, 0.8784)
B (0.0000, 0.8784, 0.3784)
B (0.0000, 0.1216, 0.6216)
B (0.0000, 0.3784, 0.1216)
Dy (0.0000, 0.6761, 0.1761)
Dy (0.0000, 0.8239, 0.6761)
Dy (0.0000, 0.3239, 0.8239)
Dy (0.0000, 0.1761, 0.3239)
Rh (0.5000, 0.0704, 0.7715)
Rh (0.5000, 0.7285, 0.4296)
Rh (0.5000, 0.2715, 0.5704)
Rh (0.5000, 0.7715, 0.9296)
Rh (0.5000, 0.5704, 0.7285)
Rh (0.5000, 0.2285, 0.0704)
Rh (0.5000, 0.5000, 0.0000)
Rh (0.5000, 0.9296, 0.2285)
Rh (0.5000, 0.4296, 0.2715)
Rh (0.5000, 0.0000, 0.5000)

---

[3]
Here is BaGaO2 after structural relaxation from Alexandria via LeMat-Bulk. Energies are from GGA-PBE.

Values from the calculation:
- Symmetry: I-42d, No. 122
- Total energy: -0.20060 Ha/atom
- Mass density: 5.10 Mg/m³
- Fermi-level density of states: 0.03 states/eV/f.u.

Cell lengths 5.4526, 5.4526, 6.5037 Å; angles 65.22, 65.22, 90.00 degrees
Fractional positions:
O (0.5357, 0.1250, 0.2500)
O (0.8750, 0.7857, 0.7500)
O (0.2143, 0.6250, 0.2500)
O (0.3750, 0.4643, 0.7500)
Ba (0.7500, 0.2500, 0.5000)
Ba (0.0000, 0.0000, 0.0000)
Ga (0.5000, 0.5000, 0.0000)
Ga (0.2500, 0.7500, 0.5000)

---

[4]
Here is Sn2PtAu after structural relaxation from Alexandria via LeMat-Bulk. Energies are from GGA-PBE.

Values from the calculation:
- ΔE_f: -0.11 eV per atom
- Energy above the most stable polymorph in this dataset: 0.2226 eV/atom
- Symmetry: Fm-3m, No. 225
- Mass density: 12.58 Mg/m³
- Fermi-level density of states: 2.84 states/eV/f.u.

Cell lengths 4.8975, 4.8975, 4.8975 Å; angles 60.00, 60.00, 60.00 degrees
Fractional positions:
Au (0.5000, 0.5000, 0.5000)
Pt (0.0000, 0.0000, 0.0000)
Sn (0.2500, 0.2500, 0.2500)
Sn (0.7500, 0.7500, 0.7500)

---

[5]
Here is YReB3 after structural relaxation from Alexandria via LeMat-Bulk. Energies are from GGA-PBE.

Values from the calculation:
- ΔE_f: 2.76 eV per atom
- Energy above the most stable polymorph in this dataset: 3.1198 eV/atom
- Symmetry: Pm-3m, No. 221
- Mass density: 6.87 Mg/m³
- Fermi-level density of states: 2.75 states/eV/f.u.

Cell lengths 4.2039, 4.2039, 4.2039 Å; angles 90.00, 90.00, 90.00 degrees
Fractional positions:
Y (0.0000, 0.0000, 0.0000)
B (0.5000, 0.0000, 0.0000)
B (0.0000, 0.0000, 0.5000)
B (0.0000, 0.5000, 0.0000)
Re (0.5000, 0.5000, 0.5000)

---

[6]
Here is Er3Ga6Pd5 after structural relaxation from Alexandria via LeMat-Bulk. Energies are from GGA-PBE.

Values from the calculation:
- ΔE_f: -0.81 eV per atom
- Symmetry: Pmmn, No. 59
- Mass density: 9.53 Mg/m³
- Fermi-level density of states: 6.94 states/eV/f.u.

Cell lengths 4.2932, 9.2586, 12.7275 Å; angles 90.00, 90.00, 90.00 degrees
Fractional positions:
Ga (0.5000, 0.0217, 0.3476)
Ga (0.0000, 0.9783, 0.1524)
Ga (0.5000, 0.4078, 0.8211)
Ga (0.0000, 0.9783, 0.8476)
Ga (0.5000, 0.4078, 0.1789)
Ga (0.5000, 0.0217, 0.6524)
Ga (0.5000, 0.9566, 0.0000)
Ga (0.0000, 0.4184, 0.5000)
Ga (0.0000, 0.5922, 0.3211)
Ga (0.0000, 0.0434, 0.5000)
Ga (0.0000, 0.5922, 0.6789)
Ga (0.5000, 0.5816, 0.0000)
Er (0.0000, 0.2485, 0.6998)
Er (0.0000, 0.2485, 0.3002)
Er (0.0000, 0.2540, 0.0000)
Er (0.5000, 0.7460, 0.5000)
Er (0.5000, 0.7515, 0.1998)
Er (0.5000, 0.7515, 0.8002)
Pd (0.0000, 0.5315, 0.1168)
Pd (0.5000, 0.2108, 0.5000)
Pd (0.0000, 0.5315, 0.8832)
Pd (0.5000, 0.4685, 0.6168)
Pd (0.5000, 0.4685, 0.3832)
Pd (0.5000, 0.1337, 0.8444)
Pd (0.5000, 0.1337, 0.1556)
Pd (0.0000, 0.7892, 0.0000)
Pd (0.0000, 0.8663, 0.3444)
Pd (0.0000, 0.8663, 0.6556)

---

[7]
Here is PrCdIn after structural relaxation from Alexandria via LeMat-Bulk. Energies are from GGA-PBE.

Values from the calculation:
- ΔE_f: -0.44 eV per atom
- Symmetry: P-6m2, No. 187
- Mass density: 7.47 Mg/m³
- Fermi-level density of states: 2.49 states/eV/f.u.

Cell lengths 3.8143, 4.9785, 4.9785 Å; angles 120.00, 90.00, 90.00 degrees
Fractional positions:
Cd (0.1668, 0.0000, 0.0000)
Pr (0.6666, 0.6667, 0.3333)
In (0.1665, 0.3333, 0.6667)

---

[8]
Here is TlCdIrAu2 after structural relaxation from Alexandria via LeMat-Bulk. Energies are from GGA-PBE.

Values from the calculation:
- ΔE_f: 0.61 eV per atom
- Symmetry: P4/mmm, No. 123
- Mass density: 10.90 Mg/m³
- Fermi-level density of states: 4.09 states/eV/f.u.

Cell lengths 5.1642, 5.1587, 5.1642 Å; angles 90.00, 90.00, 90.00 degrees
Fractional positions:
Ir (0.0000, 0.0000, 0.0000)
Tl (0.0000, 0.5000, 0.0000)
Au (0.5000, 0.0000, 0.0000)
Au (0.0000, 0.0000, 0.5000)
Cd (0.5000, 0.5000, 0.5000)

---

[9]
Here is Mg6Ga12Pt after structural relaxation from Alexandria via LeMat-Bulk. Energies are from GGA-PBE.

Values from the calculation:
- ΔE_f: -0.13 eV per atom
- Symmetry: R-3, No. 148
- Mass density: 5.13 Mg/m³
- Fermi-level density of states: 5.06 states/eV/f.u.

Cell lengths 7.2890, 7.2890, 7.2890 Å; angles 84.08, 84.08, 84.08 degrees
Fractional positions:
Mg (0.7981, 0.3322, 0.7942)
Mg (0.3322, 0.7942, 0.7981)
Mg (0.2019, 0.6678, 0.2058)
Mg (0.2058, 0.2019, 0.6678)
Mg (0.7942, 0.7981, 0.3322)
Mg (0.6678, 0.2058, 0.2019)
Ga (0.6584, 0.9359, 0.9303)
Ga (0.4069, 0.8959, 0.4114)
Ga (0.9359, 0.9303, 0.6584)
Ga (0.4114, 0.4069, 0.8959)
Ga (0.5886, 0.5931, 0.1041)
Ga (0.8959, 0.4114, 0.4069)
Ga (0.0697, 0.3416, 0.0641)
Ga (0.5931, 0.1041, 0.5886)
Ga (0.0641, 0.0697, 0.3416)
Ga (0.1041, 0.5886, 0.5931)
Ga (0.3416, 0.0641, 0.0697)
Ga (0.9303, 0.6584, 0.9359)
Pt (0.0000, 0.0000, 0.0000)

---

[10]
Here is BeRhAu after structural relaxation from Alexandria via LeMat-Bulk. Energies are from GGA-PBE.

Values from the calculation:
- ΔE_f: -0.12 eV per atom
- Energy above the most stable polymorph in this dataset: 0.1298 eV/atom
- Symmetry: P4/nmm, No. 129
- Mass density: 11.85 Mg/m³
- Fermi-level density of states: 2.62 states/eV/f.u.

Cell lengths 3.9445, 3.9445, 5.5652 Å; angles 90.00, 90.00, 90.00 degrees
Fractional positions:
Au (0.5000, 0.5000, 0.5000)
Au (0.0000, 0.0000, 0.5000)
Be (0.0000, 0.5000, 0.2177)
Be (0.5000, 0.0000, 0.7823)
Rh (0.5000, 0.5000, 0.0000)
Rh (0.0000, 0.0000, 0.0000)

---

[11]
Here is NaAl3S2O14 after structural relaxation from Alexandria via LeMat-Bulk. Energies are from GGA-PBE.

Values from the calculation:
- Symmetry: R-3m, No. 166
- Total energy: -0.22028 Ha/atom
- Mass density: 2.66 Mg/m³
- Fermi-level density of states: 8.91 states/eV/f.u.

Cell lengths 7.0619, 7.0619, 7.0619 Å; angles 59.19, 59.19, 59.19 degrees
Fractional positions:
Na (0.0000, 0.0000, 0.0000)
O (0.1593, 0.1593, 0.5081)
O (0.8407, 0.4919, 0.8407)
O (0.7480, 0.0886, 0.7480)
O (0.4919, 0.8407, 0.8407)
O (0.2520, 0.9114, 0.2520)
O (0.3900, 0.3900, 0.3900)
O (0.2520, 0.2520, 0.9114)
O (0.9114, 0.2520, 0.2520)
O (0.0886, 0.7480, 0.7480)
O (0.5081, 0.1593, 0.1593)
O (0.7480, 0.7480, 0.0886)
O (0.6100, 0.6100, 0.6100)
O (0.8407, 0.8407, 0.4919)
O (0.1593, 0.5081, 0.1593)
Al (0.0000, 0.5000, 0.0000)
Al (0.0000, 0.0000, 0.5000)
Al (0.5000, 0.0000, 0.0000)
S (0.6926, 0.6926, 0.6926)
S (0.3074, 0.3074, 0.3074)

---

[12]
Here is PuTh2 after structural relaxation from Alexandria via LeMat-Bulk. Energies are from GGA-PBE.

Values from the calculation:
- ΔE_f: 0.17 eV per atom
- Energy above the most stable polymorph in this dataset: 0.0000 eV/atom
- Symmetry: Fmmm, No. 69
- Mass density: 13.09 Mg/m³
- Fermi-level density of states: 8.33 states/eV/f.u.

Cell lengths 4.1297, 4.1297, 6.0274 Å; angles 110.10, 110.10, 90.01 degrees
Fractional positions:
Pu (0.5000, 0.5000, 0.0000)
Th (0.8411, 0.8411, 0.6805)
Th (0.1589, 0.1589, 0.3195)